1.
A relaxed MgCdNi2 crystal. Source: Alexandria, functional PBE-GGA.

As for the theoretical density: 7.038 g/cm3. The calculation puts the density of states at the Fermi level at 3.71 states/eV/f.u. The calculation puts the energy of formation from the pure elements at 0.33 eV/f.u.

It has space group C2/m (No. 12), with a = 8.652 Å, b = 2.881 Å, c = 4.904 Å, α = 90.00°, β = 101.21° and γ = 90.00°. The asymmetric unit holds Mg at (0.000, 0.000, 0.000), Cd at (0.000, 0.500, 0.500) and Ni at (0.249, 0.500, 0.232).


2.
A relaxed PrErHgRh crystal. Source: Alexandria, functional PBE-GGA.

As for the theoretical density: 10.585 g/cm3. The calculation puts the density of states at the Fermi level at 2.73 states/eV/f.u. The calculation puts the energy of formation from the pure elements at -2.18 eV/f.u.

It has space group F-43m (No. 216), with a = 7.267 Å, b = 7.267 Å, c = 7.267 Å, α = 90.00°, β = 90.00° and γ = 90.00°. The asymmetric unit holds Pr at (0.000, 0.000, 0.000), Er at (0.000, 0.000, 0.500), Hg at (0.250, 0.250, 0.750) and Rh at (0.250, 0.250, 0.250).


3.
A relaxed CaCdRu2 crystal. Source: Alexandria, functional PBE-GGA.

As for the theoretical density: 8.267 g/cm3. The calculation puts the density of states at the Fermi level at 5.17 states/eV/f.u. The calculation puts the energy of formation from the pure elements at 2.26 eV/f.u.

It has space group Cmmm (No. 65), with a = 3.209 Å, b = 4.785 Å, c = 9.278 Å, α = 90.00°, β = 90.00° and γ = 90.00°. The asymmetric unit holds Ca at (0.000, 0.000, 0.000), Cd at (0.000, 0.000, 0.500) and Ru at (0.000, 0.500, 0.254).


4.
A relaxed ScBi3Pb crystal. Source: Alexandria, functional PBE-GGA.

As for the theoretical density: 8.190 g/cm3. For the excess energy over the best structure of this formula in the dataset, the calculation gives 0.00 eV/f.u. The calculation puts the density of states at the Fermi level at 3.93 states/eV/f.u. The calculation puts the energy of formation from the pure elements at 0.73 eV/f.u.

It has space group Pm-3m (No. 221), with a = 5.628 Å, b = 5.628 Å, c = 5.628 Å, α = 90.00°, β = 90.00° and γ = 90.00°. The asymmetric unit holds Sc at (0.000, 0.000, 0.000), Bi at (0.000, 0.000, 0.500) and Pb at (0.500, 0.500, 0.500).


5.
A relaxed Ta2SiTe crystal. Source: Alexandria, functional PBE-GGA.

As for the theoretical density: 10.774 g/cm3. The value obtained for the raw formation energy is 3.7 kcal/mol of atoms. For the excess energy over the best structure of this formula in the dataset, the calculation gives 1.34 eV/f.u. The calculation puts the density of states at the Fermi level at 2.01 states/eV/f.u.

It has space group R3m (No. 160, hexagonal axes), with a = 3.3129 Å, b = 3.3129 Å, c = 25.1778 Å, α = 90.00°, β = 90.00° and γ = 120.00°. The asymmetric unit holds Ta at (0.0000, 0.0000, 0.0000), Ta at (0.0000, 0.0000, 0.2509), Si at (0.0000, 0.0000, 0.7391) and Te at (0.0000, 0.0000, 0.5012).


6.
A relaxed NpU4S5 crystal. Source: Alexandria, functional PBE-GGA.

As for the theoretical density: 10.968 g/cm3. The value obtained for the raw formation energy is -31.6 kcal/mol of atoms. The calculation puts the density of states at the Fermi level at 23.07 states/eV/f.u.

It has space group C2/m (No. 12), with a = 12.965 Å, b = 3.842 Å, c = 9.433 Å, α = 90.00°, β = 119.60° and γ = 90.00°. The asymmetric unit holds Np at (0.000, 0.000, 0.000), U at (0.101, 0.500, 0.402), U at (0.200, 0.000, 0.800), S at (0.000, 0.000, 0.500), S at (0.099, 0.500, 0.900) and S at (0.198, 0.000, 0.298).


7.
A relaxed Pm6AlTe5 crystal. Source: Alexandria, functional PBE-GGA.

As for the theoretical density: 6.752 g/cm3. The value obtained for the raw formation energy is -29.0 kcal/mol of atoms. The calculation puts the density of states at the Fermi level at 6.73 states/eV/f.u.

It has space group C2/m (No. 12), with a = 7.742 Å, b = 13.366 Å, c = 7.734 Å, α = 90.00°, β = 109.38° and γ = 90.00°. The asymmetric unit holds Pm at (0.235, 0.000, 0.259), Pm at (0.237, 0.158, 0.738), Al at (0.000, 0.000, 0.500), Te at (0.000, 0.172, 0.000), Te at (0.000, 0.335, 0.500) and Te at (0.000, 0.500, 0.000).


8.
A relaxed TiTe2Pd crystal. Source: Alexandria, functional PBE-GGA.

As for the theoretical density: 5.818 g/cm3. The value obtained for the raw formation energy is -7.3 kcal/mol of atoms. For the excess energy over the best structure of this formula in the dataset, the calculation gives 1.23 eV/f.u. The calculation puts the density of states at the Fermi level at 0.20 states/eV/f.u.

It has space group I-42d (No. 122), with a = 6.166 Å, b = 6.166 Å, c = 12.297 Å, α = 90.00°, β = 90.00° and γ = 90.00°. The asymmetric unit holds Ti at (0.000, 0.000, 0.000), Te at (0.249, 0.250, 0.125) and Pd at (0.000, 0.000, 0.500).


9.
A relaxed Sm5Dy2Er12 crystal. Source: Alexandria, functional PBE-GGA.

As for the theoretical density: 8.289 g/cm3. For the excess energy over the best structure of this formula in the dataset, the calculation gives 3.03 eV/f.u. The calculation puts the density of states at the Fermi level at 27.94 states/eV/f.u. The calculation puts the energy of formation from the pure elements at 4.23 eV/f.u.

It has space group C2/m (No. 12), with a = 17.677 Å, b = 8.955 Å, c = 8.628 Å, α = 90.00°, β = 115.22° and γ = 90.00°. The asymmetric unit holds Sm at (0.000, 0.000, 0.000), Sm at (0.213, 0.500, 0.727), Sm at (0.236, 0.000, 0.787), Dy at (0.000, 0.327, 0.500), Er at (0.044, 0.000, 0.681), Er at (0.059, 0.500, 0.212), Er at (0.128, 0.277, 0.955) and Er at (0.145, 0.187, 0.402).


10.
A relaxed Sm3Ho6Tm crystal. Source: Alexandria, functional PBE-GGA.

As for the theoretical density: 8.276 g/cm3. For the excess energy over the best structure of this formula in the dataset, the calculation gives 0.00 eV/f.u. The calculation puts the density of states at the Fermi level at 14.37 states/eV/f.u. The calculation puts the energy of formation from the pure elements at 1.50 eV/f.u.

It has space group Cmc2_1 (No. 36), with a = 10.958 Å, b = 18.905 Å, c = 6.236 Å, α = 90.00°, β = 90.00° and γ = 90.00°. The asymmetric unit holds Sm at (0.000, 0.110, 0.000), Sm at (0.171, 0.389, 0.392), Ho at (0.000, 0.222, 0.575), Ho at (0.000, 0.455, 0.836), Ho at (0.165, 0.047, 0.473), Ho at (0.245, 0.210, 0.297) and Tm at (0.000, 0.296, 0.069).


11.
A relaxed CeSi2NiRh crystal. Source: Alexandria, functional PBE-GGA.

As for the theoretical density: 7.313 g/cm3. The value obtained for the raw formation energy is -20.6 kcal/mol of atoms. The calculation puts the density of states at the Fermi level at 6.69 states/eV/f.u.

It has space group I-4m2 (No. 119), with a = 4.029 Å, b = 4.029 Å, c = 10.012 Å, α = 90.00°, β = 90.00° and γ = 90.00°. The asymmetric unit holds Ce at (0.000, 0.000, 0.000), Si at (0.000, 0.000, 0.379), Ni at (0.000, 0.500, 0.750) and Rh at (0.000, 0.500, 0.250).


12.
A relaxed TlSn3I crystal. Source: Alexandria, functional PBE-GGA.

As for the theoretical density: 5.655 g/cm3. The value obtained for the raw formation energy is 12.9 kcal/mol of atoms. For the excess energy over the best structure of this formula in the dataset, the calculation gives 0.00 eV/f.u. The calculation puts the density of states at the Fermi level at 6.33 states/eV/f.u.

It has space group Pm-3m (No. 221), with a = 5.866 Å, b = 5.866 Å, c = 5.866 Å, α = 90.00°, β = 90.00° and γ = 90.00°. The asymmetric unit holds Tl at (0.000, 0.000, 0.000), Sn at (0.000, 0.000, 0.500) and I at (0.500, 0.500, 0.500).


13.
A relaxed Ac3MgAl3 crystal. Source: Alexandria, functional PBE-GGA.

As for the theoretical density: 6.058 g/cm3. The calculation puts the density of states at the Fermi level at 6.46 states/eV/f.u. The calculation puts the energy of formation from the pure elements at -1.85 eV/f.u.

It has space group C2/m (No. 12), with a = 11.992 Å, b = 4.918 Å, c = 15.608 Å, α = 90.00°, β = 110.54° and γ = 90.00°. The asymmetric unit holds Ac at (0.028, 0.000, 0.376), Ac at (0.102, 0.000, 0.920), Ac at (0.250, 0.000, 0.219), Mg at (0.246, 0.500, 0.406), Al at (0.052, 0.500, 0.229), Al at (0.101, 0.500, 0.072) and Al at (0.120, 0.500, 0.543).


14.
A relaxed CdHRh3 crystal. Source: Alexandria, functional PBE-GGA.

As for the theoretical density: 10.929 g/cm3. For the excess energy over the best structure of this formula in the dataset, the calculation gives 0.14 eV/f.u. The calculation puts the density of states at the Fermi level at 4.97 states/eV/f.u.

It has space group P-1 (No. 2), with a = 5.623 Å, b = 5.654 Å, c = 5.661 Å, α = 60.16°, β = 60.28° and γ = 60.62°. The asymmetric unit holds Cd at (0.244, 0.007, 0.005), H at (0.499, 0.281, 0.293), Rh at (0.237, 0.511, 0.509), Rh at (0.247, 0.005, 0.498) and Rh at (0.249, 0.500, 0.002).


15.
A relaxed Nd3Ho8Tl crystal. Source: Alexandria, functional PBE-GGA.

As for the theoretical density: 7.690 g/cm3. The calculation puts the density of states at the Fermi level at 18.33 states/eV/f.u. The calculation puts the energy of formation from the pure elements at 6.22 eV/f.u.

It has space group I-42m (No. 121), with a = 8.659 Å, b = 8.659 Å, c = 11.271 Å, α = 90.00°, β = 90.00° and γ = 90.00°. The asymmetric unit holds Nd at (0.000, 0.000, 0.000), Nd at (0.000, 0.500, 0.250), Ho at (0.127, 0.127, 0.246), Ho at (0.248, 0.248, 0.985) and Tl at (0.000, 0.000, 0.500).


16.
A relaxed Pu3Si3Ni crystal. Source: Alexandria, functional PBE-GGA.

As for the theoretical density: 10.719 g/cm3. The value obtained for the raw formation energy is -11.0 kcal/mol of atoms. The calculation puts the density of states at the Fermi level at 20.94 states/eV/f.u.

It has space group C2/m (No. 12), with a = 10.280 Å, b = 4.223 Å, c = 13.109 Å, α = 90.00°, β = 107.70° and γ = 90.00°. The asymmetric unit holds Pu at (0.022, 0.000, 0.383), Pu at (0.091, 0.000, 0.909), Pu at (0.241, 0.500, 0.782), Si at (0.065, 0.500, 0.245), Si at (0.110, 0.500, 0.070), Si at (0.143, 0.500, 0.547) and Ni at (0.247, 0.500, 0.405).


17.
A relaxed Tb5Ho2Er crystal. Source: Alexandria, functional PBE-GGA.

As for the theoretical density: 8.274 g/cm3. For the excess energy over the best structure of this formula in the dataset, the calculation gives 0.96 eV/f.u. The calculation puts the density of states at the Fermi level at 12.44 states/eV/f.u. The calculation puts the energy of formation from the pure elements at 1.08 eV/f.u.

It has space group C2/m (No. 12), with a = 16.289 Å, b = 5.609 Å, c = 11.351 Å, α = 90.00°, β = 90.17° and γ = 90.00°. The asymmetric unit holds Tb at (0.043, 0.000, 0.385), Tb at (0.048, 0.000, 0.111), Tb at (0.087, 0.500, 0.917), Tb at (0.089, 0.500, 0.577), Tb at (0.106, 0.500, 0.249), Ho at (0.213, 0.000, 0.580), Ho at (0.214, 0.000, 0.919) and Er at (0.228, 0.000, 0.251).


18.
A relaxed Sc5TaC4 crystal. Source: Alexandria, functional PBE-GGA.

As for the theoretical density: 5.049 g/cm3. The calculation puts the density of states at the Fermi level at 4.22 states/eV/f.u. The calculation puts the energy of formation from the pure elements at -5.55 eV/f.u.

It has space group C2/m (No. 12), with a = 14.295 Å, b = 3.263 Å, c = 6.575 Å, α = 90.00°, β = 103.24° and γ = 90.00°. The asymmetric unit holds Sc at (0.000, 0.000, 0.000), Sc at (0.160, 0.500, 0.815), Sc at (0.167, 0.500, 0.351), Ta at (0.000, 0.000, 0.500), C at (0.001, 0.500, 0.257) and C at (0.163, 0.000, 0.586).


19.
A relaxed Re2Os crystal. Source: Alexandria, functional PBE-GGA.

As for the theoretical density: 21.164 g/cm3. For the excess energy over the best structure of this formula in the dataset, the calculation gives 0.01 eV/f.u. The calculation puts the density of states at the Fermi level at 1.79 states/eV/f.u. The calculation puts the energy of formation from the pure elements at -0.21 eV/f.u.

It has space group Cm (No. 8), with a = 10.059 Å, b = 2.770 Å, c = 6.531 Å, α = 90.00°, β = 103.97° and γ = 90.00°. The asymmetric unit holds Re at (0.000, 0.000, 0.000), Re at (0.057, 0.000, 0.613), Re at (0.224, 0.500, 0.946), Re at (0.388, 0.000, 0.282), Os at (0.168, 0.500, 0.335) and Os at (0.333, 0.000, 0.669).


20.
A relaxed Hf4Pd2C crystal. Source: Alexandria, functional PBE-GGA.

As for the theoretical density: 11.915 g/cm3. The calculation puts the density of states at the Fermi level at 4.51 states/eV/f.u. The calculation puts the energy of formation from the pure elements at -3.63 eV/f.u.

It has space group Pbam (No. 55), with a = 6.610 Å, b = 11.621 Å, c = 3.407 Å, α = 90.00°, β = 90.00° and γ = 90.00°. The asymmetric unit holds Hf at (0.112, 0.183, 0.000), Hf at (0.220, 0.954, 0.500), Pd at (0.072, 0.670, 0.500) and C at (0.000, 0.000, 0.000).